1.
Material: Er4Sc3In4
Method: DFT, PBE-GGA
State: optimized geometry

Cell: 3.3639 9.2759 18.6050 Å, 90.00 90.00 90.00°
Space group Immm (No. 71)
Symmetry-distinct sites (fractional):
1 Er 0.0000 0.1819 0.1591
2 Sc 0.0000 0.0000 0.4079
3 Sc 0.0000 0.5000 0.5000
4 In 0.0000 0.2811 0.0000
5 In 0.0000 0.5000 0.2247

Spin magnetization: 0.00 μB per atom
Raw total energy: -0.3411 Ry/atom


2.
Material: Er2Sc2In7
Method: DFT, PBE-GGA
State: optimized geometry

Cell: 8.6296 10.5917 6.9438 Å, 90.00 90.00 90.00°
Space group Cmmm (No. 65)
Symmetry-distinct sites (fractional):
1 Er 0.1844 0.0000 0.0000
2 Sc 0.0000 0.2899 0.5000
3 In 0.0000 0.0000 0.5000
4 In 0.0000 0.5000 0.2159
5 In 0.2500 0.2500 0.2175

Spin magnetization: 0.00 μB per atom
Raw total energy: -0.2698 Ry/atom


3.
Material: Er2ScIn
Method: DFT, PBE-GGA
State: optimized geometry

Cell: 7.4792 7.4792 7.4792 Å, 90.00 90.00 90.00°
Space group F-43m (No. 216)
Symmetry-distinct sites (fractional):
1 Er 0.0000 0.0000 0.0000
2 Er 0.2500 0.2500 0.2500
3 Sc 0.0000 0.0000 0.5000
4 In 0.2500 0.2500 0.7500

Spin magnetization: 0.22 μB per atom
Excess energy over the best structure of this formula in the dataset: 0.142 eV/atom


4.
Material: Er2ScIn9
Method: DFT, PBE-GGA
State: optimized geometry

Cell: 4.5913 4.5913 13.7616 Å, 90.00 90.00 90.00°
Space group P4/mmm (No. 123)
Symmetry-distinct sites (fractional):
1 Er 0.0000 0.0000 0.1691
2 Sc 0.0000 0.0000 0.5000
3 In 0.0000 0.5000 0.0000
4 In 0.0000 0.5000 0.3380
5 In 0.5000 0.5000 0.1681
6 In 0.5000 0.5000 0.5000

Spin magnetization: 0.00 μB per atom
Raw total energy: -0.2719 Ry/atom


| no. | DOS at the Fermi energy (states/eV/cell) |
| --- | --- |
| 1 | 22.18 |
| 2 | 17.96 |
| 3 | 25.80 |
| 4 | 4.19 |